The following is a DFT calculation (GGA+U) of a relaxed MgMnTl2F crystal.

Unit cell a=5.544 b=5.544 c=4.117 alpha=90.00 beta=90.00 gamma=90.00
Fractional positions:
Mg (0.000, 0.000, 0.000)
Mn (0.500, 0.500, 0.000)
Tl (0.000, 0.500, 0.500)
Tl (0.500, 0.000, 0.500)
F (0.500, 0.500, 0.500)

Output
The density of states at the Fermi level comes out at 2.1 states/eV/f.u. The calculation puts the total energy at -3.543 eV per atom. As for the space-group type: P4/mmm (123). Its mass density is 6.65 g cm⁻³.